[1]
Computed, not measured: a relaxed GaBi2Br crystal at the PBE level of DFT.

Unit cell a=4.5590 b=4.5590 c=12.8198 alpha=79.76 beta=79.76 gamma=90.00
Last column: nearest neighbours and their distance in Å.
Fractional positions:
Ga (0.2500, 0.7500, 0.5000)  4 Br 3.22, 4 Bi 3.45
Bi (0.8750, 0.8450, 0.7500)  2 Bi 3.04
Br (0.7500, 0.2500, 0.5000)  4 Ga 3.22, 4 Bi 3.54
Ga (0.5000, 0.5000, 0.0000)  4 Br 3.22, 4 Bi 3.45
Bi (0.3750, 0.4050, 0.7500)  2 Bi 3.04
Bi (0.5950, 0.1250, 0.2500)  2 Bi 3.04
Br (0.0000, 0.0000, 0.0000)  4 Ga 3.22, 4 Bi 3.54
Bi (0.1550, 0.6250, 0.2500)  2 Bi 3.04

## Properties
- raw formation energy (meV/atom) = -53
- crystal system = tetragonal
- ρ (g/cm³) = 7.309
- symmetry = I-42d (122)
- Fermi-level density of states (states/eV/f.u.) = 0.14
- E above lowest polymorph (kJ per mole of atoms) = 0.0

=====

[2]
Computed, not measured: a relaxed Ga5Bi3Br12 crystal at the PBE level of DFT.

Unit cell a=16.1112 b=16.1112 c=16.1112 alpha=109.47 beta=109.47 gamma=109.47
Last column: nearest neighbours and their distance in Å.
Fractional positions:
Br (0.4512, 0.6572, 0.1160)  1 Bi 2.92, 2 Ga 3.03-3.11
Br (0.7059, 0.5412, 0.1572)  1 Bi 2.92, 2 Ga 3.03-3.11
Br (0.8352, 0.2941, 0.4512)  1 Bi 2.92, 2 Ga 3.03-3.11
Br (0.6648, 0.6160, 0.9588)  1 Bi 2.92, 2 Ga 3.03-3.11
Br (0.2941, 0.8352, 0.9512)  1 Bi 2.92, 2 Ga 3.03-3.11
Br (0.6572, 0.2059, 0.5412)  1 Bi 2.92, 2 Ga 3.03-3.11
Br (0.3352, 0.9512, 0.7941)  1 Bi 2.92, 2 Ga 3.03-3.11
Ga (0.7500, 0.1250, 0.8750)  4 Br 3.03
Br (0.1160, 0.1572, 0.4512)  1 Bi 2.92, 2 Ga 3.03-3.11
Ga (0.5000, 0.0000, 0.0000)  6 Br 3.11
Br (0.7941, 0.4512, 0.3352)  1 Bi 2.92, 2 Ga 3.03-3.11
Bi (0.1250, 0.8750, 0.7500)  4 Br 2.92
Ga (0.6250, 0.8750, 0.2500)  4 Br 3.03
Ga (0.5000, 0.5000, 0.5000)  6 Br 3.11
Br (0.1160, 0.9588, 0.1648)  1 Bi 2.92, 2 Ga 3.03-3.11
Bi (0.8750, 0.1250, 0.2500)  4 Br 2.92
Br (0.8840, 0.0412, 0.8352)  1 Bi 2.92, 2 Ga 3.03-3.11
Ga (0.8750, 0.6250, 0.7500)  4 Br 3.03
Bi (0.6250, 0.2500, 0.3750)  4 Br 2.92
Br (0.9512, 0.3352, 0.2941)  1 Bi 2.92, 2 Ga 3.03-3.11
Ga (0.3750, 0.1250, 0.7500)  4 Br 3.03
Br (0.8840, 0.8428, 0.5488)  1 Bi 2.92, 2 Ga 3.03-3.11
Br (0.3352, 0.3840, 0.0412)  1 Bi 2.92, 2 Ga 3.03-3.11
Br (0.0412, 0.1572, 0.2059)  1 Bi 2.92, 2 Ga 3.03-3.11
Br (0.3428, 0.5488, 0.3840)  1 Bi 2.92, 2 Ga 3.03-3.11
Br (0.3840, 0.0488, 0.3428)  1 Bi 2.92, 2 Ga 3.03-3.11
Br (0.4588, 0.1648, 0.6160)  1 Bi 2.92, 2 Ga 3.03-3.11
Br (0.8428, 0.9588, 0.2941)  1 Bi 2.92, 2 Ga 3.03-3.11
Ga (0.6250, 0.7500, 0.8750)  4 Br 3.03
Ga (0.8750, 0.2500, 0.6250)  4 Br 3.03
Br (0.5412, 0.8352, 0.3840)  1 Bi 2.92, 2 Ga 3.03-3.11
Br (0.6648, 0.0488, 0.2059)  1 Bi 2.92, 2 Ga 3.03-3.11
Bi (0.2500, 0.1250, 0.3750)  4 Br 2.92
Bi (0.6250, 0.3750, 0.7500)  4 Br 2.92
Br (0.2059, 0.6572, 0.0412)  1 Bi 2.92, 2 Ga 3.03-3.11
Br (0.3428, 0.7941, 0.4588)  1 Bi 2.92, 2 Ga 3.03-3.11
Bi (0.1250, 0.2500, 0.8750)  4 Br 2.92
Br (0.0488, 0.3840, 0.8428)  1 Bi 2.92, 2 Ga 3.03-3.11
Ga (0.7500, 0.6250, 0.3750)  4 Br 3.03
Br (0.0488, 0.6648, 0.7059)  1 Bi 2.92, 2 Ga 3.03-3.11
Br (0.8352, 0.5412, 0.8840)  1 Bi 2.92, 2 Ga 3.03-3.11
Br (0.6160, 0.9512, 0.6572)  1 Bi 2.92, 2 Ga 3.03-3.11
Ga (0.0000, 0.0000, 0.0000)  6 Br 3.11
Ga (0.3750, 0.2500, 0.1250)  4 Br 3.03
Ga (0.0000, 0.5000, 0.5000)  6 Br 3.11
Br (0.4512, 0.7941, 0.8352)  1 Bi 2.92, 2 Ga 3.03-3.11
Br (0.0412, 0.8840, 0.3352)  1 Bi 2.92, 2 Ga 3.03-3.11
Bi (0.3750, 0.6250, 0.2500)  4 Br 2.92
Br (0.9588, 0.1160, 0.6648)  1 Bi 2.92, 2 Ga 3.03-3.11
Ga (0.2500, 0.8750, 0.1250)  4 Br 3.03
Br (0.2059, 0.5488, 0.6648)  1 Bi 2.92, 2 Ga 3.03-3.11
Br (0.1572, 0.0412, 0.7059)  1 Bi 2.92, 2 Ga 3.03-3.11
Ga (0.0000, 0.5000, 0.0000)  6 Br 3.11
Br (0.5412, 0.7059, 0.6572)  1 Bi 2.92, 2 Ga 3.03-3.11
Ga (0.1250, 0.3750, 0.2500)  4 Br 3.03
Br (0.9512, 0.6160, 0.1572)  1 Bi 2.92, 2 Ga 3.03-3.11
Bi (0.8750, 0.7500, 0.1250)  4 Br 2.92
Br (0.8428, 0.8840, 0.0488)  1 Bi 2.92, 2 Ga 3.03-3.11
Bi (0.7500, 0.3750, 0.1250)  4 Br 2.92
Br (0.5488, 0.3428, 0.8840)  1 Bi 2.92, 2 Ga 3.03-3.11
Br (0.6572, 0.4512, 0.6160)  1 Bi 2.92, 2 Ga 3.03-3.11
Br (0.1648, 0.4588, 0.1160)  1 Bi 2.92, 2 Ga 3.03-3.11
Br (0.2941, 0.4588, 0.8428)  1 Bi 2.92, 2 Ga 3.03-3.11
Bi (0.3750, 0.7500, 0.6250)  4 Br 2.92
Bi (0.7500, 0.8750, 0.6250)  4 Br 2.92
Br (0.3840, 0.3352, 0.5412)  1 Bi 2.92, 2 Ga 3.03-3.11
Ga (0.0000, 0.0000, 0.5000)  6 Br 3.11
Br (0.7941, 0.3428, 0.9588)  1 Bi 2.92, 2 Ga 3.03-3.11
Br (0.4588, 0.2941, 0.3428)  1 Bi 2.92, 2 Ga 3.03-3.11
Ga (0.2500, 0.3750, 0.6250)  4 Br 3.03
Ga (0.1250, 0.7500, 0.3750)  4 Br 3.03
Br (0.1572, 0.1160, 0.9512)  1 Bi 2.92, 2 Ga 3.03-3.11
Br (0.6160, 0.6648, 0.4588)  1 Bi 2.92, 2 Ga 3.03-3.11
Br (0.9588, 0.8428, 0.7941)  1 Bi 2.92, 2 Ga 3.03-3.11
Bi (0.2500, 0.6250, 0.8750)  4 Br 2.92
Ga (0.5000, 0.5000, 0.0000)  6 Br 3.11
Br (0.5488, 0.2059, 0.1648)  1 Bi 2.92, 2 Ga 3.03-3.11
Ga (0.5000, 0.0000, 0.5000)  6 Br 3.11
Br (0.1648, 0.7059, 0.5488)  1 Bi 2.92, 2 Ga 3.03-3.11
Br (0.7059, 0.1648, 0.0488)  1 Bi 2.92, 2 Ga 3.03-3.11

## Properties
- raw formation energy (meV/atom) = -415
- crystal system = cubic
- ρ (g/cm³) = 3.991
- symmetry = Ia-3d (230)
- Fermi-level density of states (states/eV/f.u.) = 2.43

=====

[3]
Computed, not measured: a relaxed GaBiBr4 crystal at the PBE level of DFT.

Unit cell a=7.4089 b=8.0767 c=9.7526 alpha=107.16 beta=104.49 gamma=108.25
Last column: nearest neighbours and their distance in Å.
Fractional positions:
Ga (0.5630, 0.3130, 0.6261)  6 Br 3.00-3.33
Bi (0.6832, 0.9332, 0.8664)  6 Br 2.82-3.00
Br (0.4491, 0.1622, 0.8898)  2 Bi 2.91-3.00
Br (0.7894, 0.0336, 0.6345)  1 Bi 2.82, 1 Ga 3.00
Br (0.9408, 0.7276, 0.8898)  2 Bi 2.91-3.00
Br (0.6550, 0.3991, 0.3655)  1 Bi 2.82, 1 Ga 3.00
Br (0.2106, 0.9664, 0.3655)  1 Bi 2.82, 1 Ga 3.00
Br (0.0592, 0.2724, 0.1102)  2 Bi 2.91-3.00
Br (0.3450, 0.6009, 0.6345)  1 Bi 2.82, 1 Ga 3.00
Bi (0.3168, 0.0668, 0.1336)  6 Br 2.82-3.00
Ga (0.4370, 0.6870, 0.3739)  6 Br 3.00-3.33
Br (0.5509, 0.8378, 0.1102)  2 Bi 2.91-3.00

## Properties
- raw formation energy (meV/atom) = -672
- crystal system = monoclinic
- ρ (g/cm³) = 4.052
- symmetry = C2/c (15)
- Fermi-level density of states (states/eV/f.u.) = 0.00

=====

[4]
Computed, not measured: a relaxed Ga2BiBr crystal at the PBE level of DFT.

Unit cell a=6.3330 b=6.3330 c=8.6736 alpha=68.59 beta=68.59 gamma=90.00
Last column: nearest neighbours and their distance in Å.
Fractional positions:
Br (0.2500, 0.7500, 0.5000)  4 Ga 2.93
Br (0.5000, 0.5000, 0.0000)  4 Ga 2.93
Bi (0.7500, 0.2500, 0.5000)  4 Ga 2.89
Ga (0.1204, 0.6250, 0.2500)  2 Bi 2.89, 2 Br 2.93
Bi (0.0000, 0.0000, 0.0000)  4 Ga 2.89
Ga (0.3750, 0.3704, 0.7500)  2 Bi 2.89, 2 Br 2.93
Ga (0.8750, 0.8796, 0.7500)  2 Bi 2.89, 2 Br 2.93
Ga (0.6296, 0.1250, 0.2500)  2 Bi 2.89, 2 Br 2.93

## Properties
- raw formation energy (meV/atom) = 30
- crystal system = tetragonal
- ρ (g/cm³) = 4.775
- symmetry = I-42d (122)
- Fermi-level density of states (states/eV/f.u.) = 2.72
- E above lowest polymorph (kJ per mole of atoms) = 12.0

=====

[5]
Computed, not measured: a relaxed Ga2BiBr crystal at the PBE level of DFT.

Unit cell a=5.2416 b=5.2416 c=5.2416 alpha=60.00 beta=60.00 gamma=60.00
Last column: nearest neighbours and their distance in Å.
Fractional positions:
Br (0.0000, 0.0000, 0.0000)  8 Ga 3.21
Bi (0.5000, 0.5000, 0.5000)  8 Ga 3.21
Ga (0.2500, 0.2500, 0.2500)  4 Bi 3.21, 4 Br 3.21
Ga (0.7500, 0.7500, 0.7500)  4 Br 3.21, 4 Bi 3.21

## Properties
- raw formation energy (meV/atom) = -30
- crystal system = cubic
- ρ (g/cm³) = 6.985
- symmetry = Fm-3m (225)
- Fermi-level density of states (states/eV/f.u.) = 1.00
- E above lowest polymorph (kJ per mole of atoms) = 6.2

=====

[6]
Computed, not measured: a relaxed GaBi3Br crystal at the PBE level of DFT.

Unit cell a=5.5419 b=5.5419 c=5.5419 alpha=90.00 beta=90.00 gamma=90.00
Last column: nearest neighbours and their distance in Å.
Fractional positions:
Bi (0.5000, 0.0000, 0.0000)  2 Ga 2.77
Bi (0.0000, 0.5000, 0.0000)  2 Ga 2.77
Bi (0.0000, 0.0000, 0.5000)  2 Ga 2.77
Br (0.5000, 0.5000, 0.5000)  12 Bi 3.92
Ga (0.0000, 0.0000, 0.0000)  6 Bi 2.77

## Properties
- raw formation energy (meV/atom) = 387
- crystal system = cubic
- ρ (g/cm³) = 7.576
- symmetry = Pm-3m (221)
- Fermi-level density of states (states/eV/f.u.) = 5.65
- E above lowest polymorph (kJ per mole of atoms) = 0.0